Entry 1:
Crystalline TbDy2Mg at its relaxed geometry, computed with PBE-GGA.

The calculation puts the formation energy from the elements at 0.195 eV/atom. The offset from the most stable computed form is 225.2 meV/atom. Its total magnetization is 0.00 Bohr magnetons per cell. The value obtained for the density of states at the Fermi level is 0.954 states/eV per atom.

It has space group R-3m (No. 166, hexagonal axes), with a = 3.4431 Å, b = 3.4431 Å, c = 36.6889 Å, α = 90.00°, β = 90.00° and γ = 120.00°. The inequivalent atoms are Tb at (0.0000, 0.0000, 0.0000), Dy at (0.0000, 0.0000, 0.4109) and Mg at (0.0000, 0.0000, 0.5000).

Entry 2:
Crystalline NdY2Os at its relaxed geometry, computed with PBE-GGA.

The calculation puts the formation energy from the elements at -0.108 eV/atom. The offset from the most stable computed form is 80.9 meV/atom. Its total magnetization is 0.00 Bohr magnetons per cell. The value obtained for the density of states at the Fermi level is 0.677 states/eV per atom.

It has space group P4/mmm (No. 123), with a = 3.4376 Å, b = 3.4376 Å, c = 9.3155 Å, α = 90.00°, β = 90.00° and γ = 90.00°. The inequivalent atoms are Nd at (0.0000, 0.0000, 0.0000), Y at (0.5000, 0.5000, 0.3225) and Os at (0.0000, 0.0000, 0.5000).

Entry 3:
Crystalline Nb3Os at its relaxed geometry, computed with PBE-GGA.

The calculation puts the formation energy from the elements at -0.258 eV/atom. Its total magnetization is 0.00 Bohr magnetons per cell. The value obtained for the density of states at the Fermi level is 0.479 states/eV per atom.

It has space group Fm-3m (No. 225), with a = 6.4730 Å, b = 6.4730 Å, c = 6.4730 Å, α = 90.00°, β = 90.00° and γ = 90.00°. The inequivalent atoms are Nb at (0.0000, 0.0000, 0.0000), Nb at (0.2500, 0.2500, 0.2500) and Os at (0.0000, 0.0000, 0.5000).

Entry 4:
Crystalline LiAg6Ge2 at its relaxed geometry, computed with PBE-GGA.

The calculation puts the formation energy from the elements at 0.009 eV/atom. Its total magnetization is 0.00 Bohr magnetons per cell. The value obtained for the density of states at the Fermi level is 0.240 states/eV per atom.

It has space group P-1 (No. 2), with a = 4.9865 Å, b = 5.0933 Å, c = 6.5620 Å, α = 82.83°, β = 75.50° and γ = 78.84°. The inequivalent atoms are Li at (0.0000, 0.0000, 0.0000), Ag at (0.2248, 0.4568, 0.1141), Ag at (0.3172, 0.6692, 0.6685), Ag at (0.4539, 0.8961, 0.2169) and Ge at (0.1124, 0.2175, 0.5551).